Entry 1:
Below is an optimized crystal structure of BaCo2Br, with properties calculated at the PBE level.

abc: 6.680 6.680 6.680
angles: 146.35 139.78 53.42
Each line ends with the local moment (μB).
Positions (direct):
Co  0.498  0.498  0.000  1.98
Co  0.002  0.002  0.000  1.98
Ba  0.750  0.250  0.500  -0.07
Br  0.250  0.750  0.500  0.02

- Calculated volume: 26.50 A^3/atom
- ΔE to the lowest computed polymorph: 565 meV per atom
- Total DFT energy (no corrections): -3.920 eV per atom
- Crystal system: orthorhombic
- ΔE_f (raw): 2.13 eV per formula unit
- ρ: 5250 kg/m3
- Space group: Immm (71)

---

Entry 2:
Below is an optimized crystal structure of BaCoBr, with properties calculated at the PBE level.

abc: 4.267 13.540 4.266
angles: 86.72 59.99 104.86
Each line ends with the local moment (μB).
Positions (direct):
Co  0.630  0.010  0.267  1.53
Co  0.296  0.009  0.934  1.53
Br  0.047  0.356  0.996  -0.01
Br  0.878  0.663  0.206  -0.01
Ba  0.194  0.201  0.450  -0.07
Ba  0.732  0.818  0.751  -0.07

- Calculated volume: 33.52 A^3/atom
- ΔE to the lowest computed polymorph: 0 meV per atom
- Total DFT energy (no corrections): -4.271 eV per atom
- Crystal system: triclinic
- ΔE_f (raw): -2.11 eV per formula unit
- ρ: 4560 kg/m3
- Space group: P-1 (2)